1.
10
Lattice="-1.936 6.375 3.221 -6.825 -2.636 1.115 0.795 -1.010 2.478" Properties=species:S:1:pos:R:3 comment="ZrMn2Zn2 (PBE, optimized geometry)" e_form_ev_per_atom=0.0699 e_above_lowest_polymorph_mev_per_atom=0 pbc="T T T"
Zn -4.529 -1.177 2.546
Zn -6.550 1.603 4.329
Zn -3.437 3.906 4.268
Zn -1.415 1.125 2.486
Mn -6.723 0.095 2.196
Mn -5.945 3.957 3.522
Mn -2.037 3.644 2.140
Mn -2.816 -0.218 0.815
Zr 0.000 0.000 0.000
Zr -4.380 1.870 2.168

2.
20
Lattice="7.939 0.000 -2.807 -3.970 6.875 -2.807 0.000 0.000 8.421" Properties=species:S:1:pos:R:3 comment="Tm3Sb4Ir3 (PBE, optimized geometry)" raw_formation_energy_mev_per_atom=-750 pbc="T T T"
Tm 1.985 5.157 3.509
Tm 5.954 1.719 2.105
Tm -0.496 2.578 0.702
Tm 2.481 0.859 4.912
Tm -1.489 6.016 -2.105
Tm 3.473 4.297 -0.702
Sb 0.000 0.000 2.987
Sb 2.561 2.439 1.811
Sb 4.546 0.999 -0.996
Sb 0.000 0.000 7.197
Sb 4.801 3.438 -3.803
Sb 0.577 5.877 0.408
Sb 0.831 3.438 -2.399
Sb -1.408 4.437 3.215
Ir -1.985 5.157 0.702
Ir 1.985 1.719 -0.702
Ir 1.489 6.016 -2.105
Ir 4.466 4.297 2.105
Ir 0.496 2.578 3.509
Ir 5.458 0.859 4.912

3.
12
Lattice="4.187 0.000 0.000 0.000 9.097 -0.177 -2.094 -3.151 9.260" Properties=species:S:1:pos:R:3 comment="Th6Tc2Te3Rh (PBE, optimized geometry)" raw_formation_energy_mev_per_atom=-773 pbc="T T T"
Th 0.000 5.902 6.176
Th 2.094 3.939 3.186
Th 2.094 0.044 2.907
Th 0.000 1.985 0.221
Th 2.094 3.961 8.862
Th 0.000 2.007 5.897
Tc 2.094 3.978 6.115
Tc 0.000 1.968 2.968
Te 2.094 4.549 -0.088
Te 2.094 -0.591 6.160
Te 0.000 6.537 2.924
Rh 2.094 0.000 0.000

4.
5
Lattice="-0.738 4.310 3.324 -5.385 -1.065 0.186 0.788 -3.220 4.351" Properties=species:S:1:pos:R:3 comment="CsLiGaHg2 (PBE, optimized geometry)" e_form_ev_per_atom=-0.1296 pbc="T T T"
Cs -2.667 0.012 3.931
Hg -2.692 -0.533 0.093
Hg -0.369 2.155 1.662
Ga 0.000 0.000 0.000
Li 0.394 -1.610 2.176

5.
4
Lattice="4.754 0.000 0.000 2.377 4.117 0.000 2.377 1.372 3.882" Properties=species:S:1:pos:R:3 comment="CaMnZn2 (PBE, optimized geometry)" e_form_ev_per_atom=0.1713 pbc="T T T"
Zn 0.000 0.000 0.000
Zn 2.377 1.372 0.970
Mn 7.131 4.117 2.911
Ca 4.754 2.745 1.941

6.
4
Lattice="3.722 -1.217 1.866 0.526 0.446 4.282 0.102 -3.508 2.549" Properties=species:S:1:pos:R:3 comment="ZnB2Te (PBE, optimized geometry)" raw_formation_energy_mev_per_atom=1567 e_above_lowest_polymorph_mev_per_atom=655 pbc="T T T"
Zn 0.000 0.000 0.000
Te 2.175 -2.139 4.349
B 1.087 -1.070 2.174
B 3.262 -3.209 6.523

7.
4
Lattice="-0.437 -0.028 4.561 0.456 3.895 2.369 -3.663 1.930 1.962" Properties=species:S:1:pos:R:3 comment="CaMoIr2 (PBE, optimized geometry)" e_form_ev_per_atom=0.1937 e_above_lowest_polymorph_mev_per_atom=359 pbc="T T T"
Mo -1.822 2.898 4.446
Ir -0.911 1.449 2.223
Ir -2.733 4.347 6.669
Ca 0.000 0.000 0.000

8.
4
Lattice="4.911 0.000 0.000 0.000 4.844 0.000 0.000 0.000 4.844" Properties=species:S:1:pos:R:3 comment="PmTh2Al (PBE, optimized geometry)" e_form_ev_per_atom=-0.1184 e_above_lowest_polymorph_mev_per_atom=0 pbc="T T T"
Al 2.456 2.422 2.422
Th 0.000 0.000 2.422
Th 0.000 2.422 0.000
Pm 2.456 0.000 0.000

9.
18
Lattice="6.852 0.000 0.000 0.000 9.669 0.000 0.000 -4.834 8.375" Properties=species:S:1:pos:R:3 comment="NaNd5Tl3 (PBE, optimized geometry)" e_form_ev_per_atom=-0.2555 pbc="T T T"
Na 0.000 0.000 0.000
Na 3.426 0.000 0.000
Nd 0.000 4.834 2.794
Nd 3.426 0.000 5.580
Nd 0.000 0.000 5.580
Nd 3.426 4.834 2.794
Nd 5.139 3.280 5.685
Nd 5.139 8.115 2.690
Nd 5.139 3.108 0.000
Nd 1.713 1.554 2.690
Nd 1.713 -3.280 5.685
Nd 1.713 6.561 0.000
Tl 5.139 1.653 2.865
Tl 5.139 6.488 5.510
Tl 5.139 6.362 0.000
Tl 1.713 3.181 5.510
Tl 1.713 -1.653 2.865
Tl 1.713 3.307 0.000

10.
4
Lattice="-0.892 -4.556 -9.023 -0.223 -6.989 -7.352 -3.087 -6.032 -7.553" Properties=species:S:1:pos:R:3 comment="KAl2Tc (PBE, optimized geometry)" e_form_ev_per_atom=0.2509 e_above_lowest_polymorph_mev_per_atom=168 pbc="T T T"
K -1.051 -4.394 -5.982
Tc -3.152 -13.182 -17.946
Al -0.078 -0.328 -0.446
Al -2.023 -8.461 -11.518

11.
4
Lattice="4.449 -1.076 0.000 -0.029 4.577 0.000 -2.210 -1.751 3.606" Properties=species:S:1:pos:R:3 comment="HgIr2Br (PBE, optimized geometry)" raw_formation_energy_mev_per_atom=1117 e_above_lowest_polymorph_mev_per_atom=695 pbc="T T T"
Ir 0.000 0.000 0.000
Ir -0.014 2.289 1.803
Hg 2.224 -0.538 1.803
Br 2.210 1.751 0.000

12.
5
Lattice="5.443 0.000 0.000 0.000 5.443 0.000 0.000 0.000 3.881" Properties=species:S:1:pos:R:3 comment="LiCoI2N (PBE, optimized geometry)" raw_formation_energy_mev_per_atom=1029 e_above_lowest_polymorph_mev_per_atom=994 pbc="T T T"
I 0.000 2.722 0.000
I 2.722 0.000 0.000
Li 0.000 0.000 0.000
Co 2.722 2.722 1.941
N 0.000 0.000 1.941

| no. | size of the total moment (μB per formula unit) | ρ (g/cm³) |
| --- | --- | --- |
| 1 | 5.23 | 7.21 |
| 2 | 0.00 | 11.35 |
| 3 | 0.00 | 9.83 |
| 4 | 0.00 | 6.15 |
| 5 | 4.47 | 4.94 |
| 6 | 0.00 | 6.18 |
| 7 | 0.00 | 12.71 |
| 8 | 0.00 | 9.17 |
| 9 | 0.00 | 8.13 |
| 10 | 0.00 | 4.00 |
| 11 | 0.94 | 15.06 |
| 12 | 5.08 | 4.82 |